Computed, not measured: a relaxed structure of LiLa2NiH at the GGA-PBE level of DFT.

SG: No. 123
E above lowest polymorph (eV/atom): 0.058

CIF file:
```
data_LiLa2NiH
_chemical_formula_sum 'Li1 La2 Ni1 H1'
_space_group_name_H-M_alt 'P 1'
_space_group_IT_number 1
_cell_length_a 5.217
_cell_length_b 5.217
_cell_length_c 3.693
_cell_angle_alpha 90.00
_cell_angle_beta 90.00
_cell_angle_gamma 90.00
loop_
_space_group_symop_operation_xyz
'x,y,z'
loop_
_atom_site_label
_atom_site_type_symbol
_atom_site_fract_x
_atom_site_fract_y
_atom_site_fract_z
_atom_site_occupancy
La1 La 0.000 0.500 0.000 1
La2 La 0.500 0.000 0.000 1
H1 H 0.000 0.000 0.000 1
Ni1 Ni 0.000 0.000 0.500 1
Li1 Li 0.500 0.500 0.500 1
```